Version w
The following is a PBE calculation of La2AlS after structural relaxation, from the Alexandria database.

For the density of states at the Fermi level, the calculation gives 9.43 states/eV/f.u.

It has space group Fm-3m (No. 225), with a = 7.483 Å, b = 7.483 Å, c = 7.483 Å, α = 90.00°, β = 90.00° and γ = 90.00°. The distinct sites, in fractional coordinates, are La at (0.250, 0.250, 0.250), Al at (0.000, 0.000, 0.000) and S at (0.000, 0.000, 0.500).


Version x
The following is a PBE calculation of La2AlS after structural relaxation, from the Alexandria database.

For the density of states at the Fermi level, the calculation gives 3.37 states/eV/f.u.

It has space group I-42d (No. 122), with a = 6.656 Å, b = 6.656 Å, c = 13.903 Å, α = 90.00°, β = 90.00° and γ = 90.00°. The distinct sites, in fractional coordinates, are La at (0.216, 0.250, 0.125), Al at (0.000, 0.000, 0.500) and S at (0.000, 0.000, 0.000).


Most stable: version w


Version w
The following is a PBE calculation of LaAl3Sb after structural relaxation, from the Alexandria database.

For the density of states at the Fermi level, the calculation gives 3.62 states/eV/f.u.

It has space group Pm-3m (No. 221), with a = 5.273 Å, b = 5.273 Å, c = 5.273 Å, α = 90.00°, β = 90.00° and γ = 90.00°. The distinct sites, in fractional coordinates, are La at (0.000, 0.000, 0.000), Al at (0.000, 0.500, 0.500) and Sb at (0.500, 0.500, 0.500).


Version x
The following is a PBE calculation of LaAl3Sb after structural relaxation, from the Alexandria database.

For the density of states at the Fermi level, the calculation gives 5.07 states/eV/f.u.

It has space group Pm-3m (No. 221), with a = 5.670 Å, b = 5.670 Å, c = 5.670 Å, α = 90.00°, β = 90.00° and γ = 90.00°. The distinct sites, in fractional coordinates, are La at (0.000, 0.000, 0.000), Al at (0.000, 0.000, 0.500) and Sb at (0.500, 0.500, 0.500).


Most stable: version w


Version w
The following is a PBE calculation of LaAlSb2Te after structural relaxation, from the Alexandria database.

For the density of states at the Fermi level, the calculation gives 6.33 states/eV/f.u.

It has space group P4/mmm (No. 123), with a = 6.078 Å, b = 6.078 Å, c = 6.113 Å, α = 90.00°, β = 90.00° and γ = 90.00°. The distinct sites, in fractional coordinates, are La at (0.000, 0.000, 0.000), Al at (0.500, 0.500, 0.500), Sb at (0.000, 0.500, 0.000) and Te at (0.000, 0.000, 0.500).


Version x
The following is a PBE calculation of LaAlSb2Te after structural relaxation, from the Alexandria database.

For the density of states at the Fermi level, the calculation gives 4.51 states/eV/f.u.

It has space group P4/mmm (No. 123), with a = 5.284 Å, b = 5.284 Å, c = 5.452 Å, α = 90.00°, β = 90.00° and γ = 90.00°. The distinct sites, in fractional coordinates, are La at (0.000, 0.000, 0.000), Al at (0.500, 0.500, 0.500), Sb at (0.000, 0.500, 0.500) and Te at (0.500, 0.500, 0.000).


Most stable: version x


Version w
The following is a PBE calculation of LaScAl2 after structural relaxation, from the Alexandria database.

For the density of states at the Fermi level, the calculation gives 4.64 states/eV/f.u.

It has space group R3m (No. 160, hexagonal axes), with a = 3.2512 Å, b = 3.2512 Å, c = 31.1019 Å, α = 90.00°, β = 90.00° and γ = 120.00°. The distinct sites, in fractional coordinates, are La at (0.0000, 0.0000, 0.0000), Sc at (0.0000, 0.0000, 0.2381), Al at (0.0000, 0.0000, 0.4944) and Al at (0.0000, 0.0000, 0.7569).


Version x
The following is a PBE calculation of LaScAl2 after structural relaxation, from the Alexandria database.

For the density of states at the Fermi level, the calculation gives 5.17 states/eV/f.u.

It has space group R-3m (No. 166, hexagonal axes), with a = 3.3645 Å, b = 3.3645 Å, c = 29.6519 Å, α = 90.00°, β = 90.00° and γ = 120.00°. The distinct sites, in fractional coordinates, are La at (0.0000, 0.0000, 0.0000), Sc at (0.0000, 0.0000, 0.5000) and Al at (0.0000, 0.0000, 0.2430).


Version y
The following is a PBE calculation of LaScAl2 after structural relaxation, from the Alexandria database.

For the density of states at the Fermi level, the calculation gives 3.19 states/eV/f.u.

It has space group Cmmm (No. 65), with a = 6.522 Å, b = 8.621 Å, c = 3.311 Å, α = 90.00°, β = 90.00° and γ = 90.00°. The distinct sites, in fractional coordinates, are La at (0.000, 0.000, 0.000), Sc at (0.000, 0.500, 0.000) and Al at (0.250, 0.250, 0.500).


Most stable: version y


Version w
The following is a PBE calculation of LaScAl2 after structural relaxation, from the Alexandria database.

For the density of states at the Fermi level, the calculation gives 2.99 states/eV/f.u.

It has space group P4mm (No. 99), with a = 3.345 Å, b = 3.345 Å, c = 8.414 Å, α = 90.00°, β = 90.00° and γ = 90.00°. The distinct sites, in fractional coordinates, are La at (0.000, 0.000, 0.000), Sc at (0.500, 0.500, 0.337), Al at (0.000, 0.000, 0.555) and Al at (0.500, 0.500, 0.728).


Version x
The following is a PBE calculation of LaScAl2 after structural relaxation, from the Alexandria database.

For the density of states at the Fermi level, the calculation gives 2.65 states/eV/f.u.

It has space group Imm2 (No. 44), with a = 3.961 Å, b = 4.744 Å, c = 10.288 Å, α = 90.00°, β = 90.00° and γ = 90.00°. The distinct sites, in fractional coordinates, are La at (0.000, 0.000, 0.000), Sc at (0.000, 0.500, 0.765), Al at (0.000, 0.000, 0.566) and Al at (0.000, 0.500, 0.236).


Version y
The following is a PBE calculation of LaScAl2 after structural relaxation, from the Alexandria database.

For the density of states at the Fermi level, the calculation gives 5.03 states/eV/f.u.

It has space group Amm2 (No. 38), with a = 4.502 Å, b = 3.520 Å, c = 12.154 Å, α = 90.00°, β = 90.00° and γ = 90.00°. The distinct sites, in fractional coordinates, are La at (0.000, 0.000, 0.000), Sc at (0.500, 0.000, 0.692), Al at (0.000, 0.000, 0.266) and Al at (0.500, 0.000, 0.391).


Version z
The following is a PBE calculation of LaScAl2 after structural relaxation, from the Alexandria database.

For the density of states at the Fermi level, the calculation gives 4.62 states/eV/f.u.

It has space group I-42d (No. 122), with a = 8.202 Å, b = 8.202 Å, c = 6.001 Å, α = 90.00°, β = 90.00° and γ = 90.00°. The distinct sites, in fractional coordinates, are La at (0.000, 0.000, 0.000), Sc at (0.000, 0.000, 0.500) and Al at (0.222, 0.250, 0.625).


Most stable: version y


Version w
The following is a PBE calculation of LaScAl2 after structural relaxation, from the Alexandria database.

For the density of states at the Fermi level, the calculation gives 1.58 states/eV/f.u.

It has space group Fm-3m (No. 225), with a = 7.191 Å, b = 7.191 Å, c = 7.191 Å, α = 90.00°, β = 90.00° and γ = 90.00°. The distinct sites, in fractional coordinates, are La at (0.000, 0.000, 0.000), Sc at (0.000, 0.000, 0.500) and Al at (0.250, 0.250, 0.250).


Version x
The following is a PBE calculation of LaScAl2 after structural relaxation, from the Alexandria database.

For the density of states at the Fermi level, the calculation gives 2.66 states/eV/f.u.

It has space group P4/mmm (No. 123), with a = 3.576 Å, b = 3.576 Å, c = 7.253 Å, α = 90.00°, β = 90.00° and γ = 90.00°. The distinct sites, in fractional coordinates, are La at (0.000, 0.000, 0.000), Sc at (0.000, 0.000, 0.500) and Al at (0.500, 0.500, 0.292).


Most stable: version x